Record 1
First-principles (PBE-GGA) data for an optimized crystal structure of PmPr6Tm3, as listed in the Alexandria database.

Structure (POSCAR):
```
PmPr6Tm3
1.0
4.9897 2.8808 4.0547
-4.9897 2.8808 4.0547
0.0000 -5.7616 4.0547
Pm Pr Tm
1 6 3
Direct
0.0000 0.0000 0.0000
0.0000 0.3305 0.6695
0.1707 0.8293 0.5000
0.3305 0.6695 0.0000
0.5000 0.1707 0.8293
0.6695 0.0000 0.3305
0.8293 0.5000 0.1707
0.2531 0.2531 0.2531
0.5000 0.5000 0.5000
0.7469 0.7469 0.7469
```

## Properties
ΔE to the lowest computed polymorph   13 meV/atom
Space group   R32, No. 155
N(E_F)   18.7 states/eV/cell
Calculated formation energy   0.22 eV/atom
Energy   -4.467 eV/atom

Record 2
First-principles (PBE-GGA) data for an optimized crystal structure of YEr5In6, as listed in the Alexandria database.

Structure (POSCAR):
```
YEr5In6
1.0
2.6457 -7.9396 0.0000
2.6457 7.9396 0.0000
0.0000 0.0000 7.4461
Y Er In
1 5 6
Direct
0.0000 0.0000 0.0000
0.0000 0.0000 0.5000
0.3330 0.6670 0.0000
0.3340 0.6660 0.5000
0.6660 0.3340 0.5000
0.6670 0.3330 0.0000
0.1673 0.8327 0.2514
0.1673 0.8327 0.7486
0.5000 0.5000 0.2509
0.5000 0.5000 0.7491
0.8327 0.1673 0.2514
0.8327 0.1673 0.7486
```

## Properties
Space group   Cmmm, No. 65
N(E_F)   5.5 states/eV/cell
Calculated formation energy   -0.45 eV/atom
Energy   -4.260 eV/atom

Record 3
First-principles (PBE-GGA) data for an optimized crystal structure of AgBiNF2, as listed in the Alexandria database.

Structure (POSCAR):
```
AgBiNF2
1.0
4.3002 0.0000 0.0000
0.0000 4.3002 0.0000
0.0000 0.0000 4.2123
Ag Bi N F
1 1 1 2
Direct
0.0000 0.0000 0.0000
0.5000 0.5000 0.5000
0.0000 0.0000 0.5000
0.0000 0.5000 0.0000
0.5000 0.0000 0.0000
```

## Properties
ΔE to the lowest computed polymorph   357 meV/atom
Space group   P4/mmm, No. 123
Formation energy without anion corrections   -62 meV per atom
N(E_F)   2.7 states/eV/cell
Energy   -3.822 eV/atom

Record 4
First-principles (PBE-GGA) data for an optimized crystal structure of Tm4RuPb2, as listed in the Alexandria database.

Structure (POSCAR):
```
Tm4RuPb2
1.0
5.6276 -2.3208 0.0000
5.6276 2.3208 0.0000
-4.8041 0.0000 7.1758
Tm Ru Pb
4 1 2
Direct
0.0602 0.0602 0.3482
0.3363 0.3363 0.9487
0.6637 0.6637 0.0513
0.9398 0.9398 0.6518
0.0000 0.0000 0.0000
0.3313 0.3313 0.3244
0.6687 0.6687 0.6756
```

## Properties
ΔE to the lowest computed polymorph   0 meV/atom
Space group   C2/m, No. 12
N(E_F)   5.2 states/eV/cell
Calculated formation energy   -0.43 eV/atom
Energy   -5.369 eV/atom

Record 5
First-principles (PBE-GGA) data for an optimized crystal structure of Ba2LiInP, as listed in the Alexandria database.

Structure (POSCAR):
```
Ba2LiInP
1.0
6.3282 0.0000 0.0000
0.0000 6.3282 0.0000
0.0000 0.0000 4.6591
Ba Li In P
2 1 1 1
Direct
0.0000 0.5000 0.0000
0.5000 0.0000 0.0000
0.0000 0.0000 0.5000
0.5000 0.5000 0.5000
0.0000 0.0000 0.0000
```

## Properties
Space group   P4/mmm, No. 123
N(E_F)   4.3 states/eV/cell
Calculated formation energy   -0.49 eV/atom
Energy   -3.272 eV/atom

Record 6
First-principles (PBE-GGA) data for an optimized crystal structure of Na5TlBr6, as listed in the Alexandria database.

Structure (POSCAR):
```
Na5TlBr6
1.0
3.7918 -6.5614 0.0000
3.7918 6.5614 0.0000
-2.5465 0.0000 7.1173
Na Tl Br
5 1 6
Direct
0.0000 0.0000 0.0000
0.1685 0.8315 0.5000
0.3369 0.6631 0.0000
0.6631 0.3369 0.0000
0.8315 0.1685 0.5000
0.5000 0.5000 0.5000
0.0579 0.4121 0.2420
0.2361 0.2361 0.7652
0.4121 0.0579 0.2420
0.5879 0.9421 0.7580
0.7639 0.7639 0.2348
0.9421 0.5879 0.7580
```

## Properties
Space group   C2/m, No. 12
Formation energy without anion corrections   -1429 meV per atom
N(E_F)   0.0 states/eV/cell
Energy   -3.013 eV/atom